## LaPmAgRu (PBE)

Data for an optimized crystal structure of LaPmAgRu.

a b c (Å): 5.1433 5.1433 5.1433
angles (deg): 60.00 60.00 60.00
Fractional positions:
La  0.0000  0.0000  0.0000
Pm  0.5000  0.5000  0.5000
Ag  0.7500  0.7500  0.7500
Ru  0.2500  0.2500  0.2500

Density of states at the Fermi level (states/eV/atom): 0.639
E_form (eV/atom): -0.211